1.
Material: KRb2SnAs2
Method: DFT, PBE-GGA
State: relaxed

Unit cell a=5.3693 b=9.3984 c=8.0371 alpha=90.00 beta=90.00 gamma=90.00
Last column: nearest neighbours and their distance in Å.
Space group Pmc2_1 (No. 26)
Inequivalent atoms, fractional coordinates:
K  0.0000  0.0415  0.0000 x2  4 As 3.26-3.59, 2 Sn 3.53
Rb  0.0000  0.3312  0.3134 x2  4 As 3.28-3.63
Rb  0.5000  0.4121  0.9995 x2  1 Sn 3.63, 3 As 3.69-3.76, 4 Rb 3.76-3.91
Sn  0.5000  0.1652  0.6527 x2  4 As 2.83-2.98
As  0.0000  0.2910  0.7189 x2  2 Sn 2.98, 1 K 3.26, 1 Rb 3.28
As  0.5000  0.1070  0.3019 x2  2 Sn 2.83-2.87

Values from the calculation:
The calculation puts the total energy at -3.065 eV per atom. The formation energy is -0.34 eV per atom.


2.
Material: KRbSn2As
Method: DFT, PBE-GGA
State: relaxed

Unit cell a=5.6186 b=5.6186 c=6.3514 alpha=90.00 beta=90.00 gamma=90.00
Last column: nearest neighbours and their distance in Å.
Space group P4/mmm (No. 123)
Inequivalent atoms, fractional coordinates:
K  0.0000  0.0000  0.0000 x1  4 Rb 3.97, 8 Sn 4.24
Rb  0.5000  0.5000  0.0000 x1  2 As 3.18
Sn  0.0000  0.5000  0.5000 x2  2 As 2.81
As  0.5000  0.5000  0.5000 x1  4 Sn 2.81

Values from the calculation:
The calculation puts the total energy at -2.858 eV per atom. The formation energy is 0.09 eV per atom.